A plane-wave DFT calculation with PBE was carried out for a geometry-optimized NaNdHgS3 structure.

Lattice parameters (Å, degrees): 4.1127 11.7276 12.4614 90.00 90.00 90.00
Fractional coordinates of all 24 atoms:
S 0.2500 0.8463 0.0626
S 0.7500 0.0759 0.5791
S 0.7500 0.6524 0.2723
S 0.7500 0.3463 0.4374
S 0.7500 0.4241 0.0791
S 0.7500 0.1537 0.9374
S 0.2500 0.3476 0.7277
S 0.7500 0.8476 0.7723
S 0.2500 0.9241 0.4209
S 0.2500 0.6537 0.5626
S 0.2500 0.1524 0.2277
S 0.2500 0.5759 0.9209
Na 0.2500 0.9861 0.8717
Na 0.7500 0.4861 0.6283
Na 0.7500 0.0139 0.1283
Na 0.2500 0.5139 0.3717
Hg 0.2500 0.7044 0.7634
Hg 0.7500 0.2956 0.2366
Hg 0.7500 0.2044 0.7366
Hg 0.2500 0.7956 0.2633
Nd 0.7500 0.6723 0.0493
Nd 0.2500 0.1723 0.4507
Nd 0.2500 0.3277 0.9507
Nd 0.7500 0.8277 0.5493

Summary:
* theoretical density: 5.128 g cm⁻³
* polymorph energy (0 for the lowest one): 0.000 eV per atom
* symmetry: Pnma
* total DFT energy (no corrections): -102.99 eV/cell
* crystal system: orthorhombic